No. 1
A relaxed AlCuO crystal, computed with PBE.

Fermi-level density of states	0.90	states/eV per cell
DFT total energy	-5.3399	eV per atom
ΔE to the lowest computed polymorph	384	meV per atom
spin magnetization	0.0	Bohr magnetons per cell
uncorrected formation energy	-24.77	kcal/mol of atoms

Lattice parameters (Å, degrees): 2.7803 2.7803 9.8471 90.00 90.00 120.00
With the nearest neighbours (Å) after each atom.
Fractional coordinates of all 6 atoms:
O1 0.3333 0.6667 0.1151  3 Al 1.96
O2 0.3333 0.6667 0.8849  3 Al 1.96
Cu1 0.0000 0.0000 0.3036  3 O 2.45, 3 Al 2.51
Cu2 0.0000 0.0000 0.6964  3 O 2.45, 3 Al 2.51
Al1 0.0000 0.0000 0.0000  6 O 1.96
Al2 0.3333 0.6667 0.5000  6 Cu 2.51, 6 Al 2.78

---

No. 2
A relaxed KLa3Re crystal, computed with PBE.

formation energy	1.40	eV/f.u.
Fermi-level density of states	8.51	states/eV per cell
DFT total energy	-5.3847	eV per atom
ΔE to the lowest computed polymorph	0	meV per atom
spin magnetization	0.0	Bohr magnetons per cell

Lattice parameters (Å, degrees): 5.7977 5.7977 5.7977 90.00 90.00 90.00
With the nearest neighbours (Å) after each atom.
Fractional coordinates of all 5 atoms:
K1 0.5000 0.5000 0.5000  12 La 4.10
La1 0.0000 0.0000 0.5000  2 Re 2.90
La2 0.0000 0.5000 0.0000  2 Re 2.90
La3 0.5000 0.0000 0.0000  2 Re 2.90
Re1 0.0000 0.0000 0.0000  6 La 2.90